Entry 1:
This record from Alexandria via LeMat-Bulk describes a geometry-optimized ThAl2SiRh2 structure. The functional is PBE.

a b c (Å): 4.4956 4.4956 5.6700
angles (deg): 90.00 90.00 90.00
Closest atoms and distances in Å follow each position.
Space group P4/mmm (No. 123)
Asymmetric unit:
1 Th 0.0000 0.0000 0.0000 x1  2 Si 2.84
2 Al 0.5000 0.5000 0.2417 x2  4 Rh 2.68, 2 Al 2.74-2.93
3 Si 0.0000 0.0000 0.5000 x1  4 Rh 2.25
4 Rh 0.0000 0.5000 0.5000 x2  2 Si 2.25



Entry 2:
This record from Alexandria via LeMat-Bulk describes a geometry-optimized ThAlSi2Rh5 structure. The functional is PBE.

a b c (Å): 4.0915 4.0915 9.6752
angles (deg): 90.00 90.00 90.00
Closest atoms and distances in Å follow each position.
Space group P4/mmm (No. 123)
Asymmetric unit:
1 Th 0.0000 0.0000 0.0000 x1  4 Rh 2.89
2 Al 0.0000 0.0000 0.5000 x1  8 Rh 2.52
3 Si 0.5000 0.5000 0.2385 x2  5 Rh 2.31
4 Rh 0.0000 0.5000 0.3485 x4  2 Si 2.31, 2 Al 2.52
5 Rh 0.5000 0.5000 0.0000 x1  2 Si 2.31



Entry 3:
This record from Alexandria via LeMat-Bulk describes a geometry-optimized ThAlSiRh3 structure. The functional is PBE.

a b c (Å): 6.6392 11.7825 5.6745
angles (deg): 90.00 90.00 90.00
Closest atoms and distances in Å follow each position.
Space group Cmcm (No. 63)
Asymmetric unit:
1 Th 0.0000 0.2083 0.2500 x4  2 Si 3.03, 8 Rh 3.09-3.33, 1 Al 3.15
2 Al 0.0000 0.4755 0.2500 x4  5 Rh 2.43-2.49
3 Si 0.0000 0.1182 0.7500 x4  5 Rh 2.30-2.41
4 Rh 0.0000 0.3132 0.7500 x4  1 Si 2.30, 1 Al 2.49
5 Rh 0.2057 0.0000 0.0000 x8  2 Si 2.41, 2 Al 2.43



Entry 4:
This record from Alexandria via LeMat-Bulk describes a geometry-optimized Tm2AlSi3Rh4 structure. The functional is PBE.

a b c (Å): 4.0799 4.0799 9.9980
angles (deg): 90.00 90.00 90.00
Closest atoms and distances in Å follow each position.
Space group P-4m2 (No. 115)
Asymmetric unit:
1 Tm 0.0000 0.5000 0.2491 x2  8 Rh 3.10-3.22, 6 Si 3.13-3.23, 2 Al 3.23
2 Al 0.0000 0.0000 0.5000 x1  4 Rh 2.46
3 Si 0.0000 0.5000 0.8715 x2  5 Rh 2.34-2.41
4 Si 0.5000 0.5000 0.5000 x1  4 Rh 2.46
5 Rh 0.0000 0.0000 0.0000 x1  4 Si 2.41
6 Rh 0.0000 0.5000 0.6373 x2  3 Si 2.34-2.46, 2 Al 2.46
7 Rh 0.5000 0.5000 0.0000 x1  4 Si 2.41



Number 1: uncorrected energy -6.4152 eV/atom, N(E_F) 1.00 states/eV per atom. Number 2: uncorrected energy -7.2308 eV/atom, N(E_F) 0.50 states/eV per atom. Number 3: uncorrected energy -7.1646 eV/atom, N(E_F) 0.86 states/eV per atom. Number 4: uncorrected energy -6.8776 eV/atom, N(E_F) 0.68 states/eV per atom.